Entry from Alexandria: a PBEsol-optimized structure of Sc2NiBr (SCAN).

Values from the calculation:
- E_tot: -0.5975 Ha/atom

a = 3.735 Å, b = 3.735 Å, c = 10.388 Å
α = 90.00°, β = 90.00°, γ = 90.00°
Space group I-4m2 (No. 119)
Asymmetric unit:
Sc (0.000, 0.000, 0.000) [2 per cell]
Sc (0.000, 0.500, 0.250) [2 per cell]
Ni (0.000, 0.500, 0.750) [2 per cell]
Br (0.000, 0.000, 0.500) [2 per cell]